Run P
## ScPaNi2 (PBE)

Data for crystalline ScPaNi2 at its relaxed geometry.

**Space group**: No. 123
**Total magnetization**: 0.0 μB per formula unit

abc: 3.144 3.144 6.921
angles: 90.00 90.00 90.00
Positions (direct):
Sc 0.500 0.500 0.000
Ni 0.000 0.000 0.773
Ni 0.000 0.000 0.227
Pa 0.500 0.500 0.500


Run Q
## ScPaNi2 (PBE)

Data for crystalline ScPaNi2 at its relaxed geometry.

**Space group**: No. 38
**Total magnetization**: 0.0 μB per formula unit

abc: 3.381 4.269 5.219
angles: 90.00 108.85 90.00
Positions (direct):
Sc 0.444 0.500 0.426
Pa 0.720 0.000 0.979
Ni 0.168 0.500 0.875
Ni 0.000 0.000 0.538


Run R
## ScPaNi2 (PBE)

Data for crystalline ScPaNi2 at its relaxed geometry.

**Space group**: No. 166
**Total magnetization**: 0.0 μB per formula unit

abc: 4.490 4.490 4.858
angles: 62.48 62.48 60.00
Positions (direct):
Sc 0.500 0.500 0.500
Ni 0.782 0.782 0.655
Ni 0.218 0.218 0.345
Pa 0.000 0.000 0.000


It is run Q that is most stable; the runner-up trails by 100 meV per atom.


Run P
## Pa2NiSe6 (PBE)

Data for crystalline Pa2NiSe6 at its relaxed geometry.

**Space group**: No. 136
**Total magnetization**: 1.7 μB per formula unit

abc: 6.458 6.458 11.905
angles: 90.00 90.00 90.00
Positions (direct):
Pa 0.500 0.500 0.327
Pa 0.500 0.500 0.673
Pa 0.000 0.000 0.173
Pa 0.000 0.000 0.827
Ni 0.500 0.500 0.000
Ni 0.000 0.000 0.500
Se 0.695 0.695 0.149
Se 0.695 0.695 0.851
Se 0.703 0.703 0.500
Se 0.797 0.203 0.000
Se 0.805 0.195 0.351
Se 0.805 0.195 0.649
Se 0.195 0.805 0.351
Se 0.195 0.805 0.649
Se 0.203 0.797 0.000
Se 0.297 0.297 0.500
Se 0.305 0.305 0.149
Se 0.305 0.305 0.851


Run Q
## Pa2NiSe6 (PBE)

Data for crystalline Pa2NiSe6 at its relaxed geometry.

**Space group**: No. 14
**Total magnetization**: 0.0 μB per formula unit

abc: 5.913 7.530 9.035
angles: 90.00 91.94 90.00
Positions (direct):
Pa 0.085 0.629 0.747
Pa 0.415 0.129 0.753
Pa 0.585 0.871 0.247
Pa 0.915 0.371 0.253
Ni 0.500 0.500 0.000
Ni 0.000 0.000 0.500
Se 0.110 0.016 0.251
Se 0.156 0.332 0.551
Se 0.155 0.336 0.951
Se 0.345 0.836 0.549
Se 0.344 0.832 0.949
Se 0.390 0.516 0.249
Se 0.890 0.984 0.749
Se 0.844 0.668 0.449
Se 0.845 0.664 0.049
Se 0.655 0.164 0.451
Se 0.656 0.168 0.051
Se 0.610 0.484 0.751


It is run Q that is most stable; the runner-up trails by 166 meV per atom.


Run P
## PaNiSe2 (PBE)

Data for crystalline PaNiSe2 at its relaxed geometry.

**Space group**: No. 166
**Total magnetization**: 1.0 μB per formula unit

abc: 4.215 4.215 7.893
angles: 74.52 74.52 60.00
Positions (direct):
Ni 0.000 0.000 0.000
Pa 0.500 0.500 0.500
Se 0.098 0.098 0.705
Se 0.902 0.902 0.295


Run Q
## PaNiSe2 (PBE)

Data for crystalline PaNiSe2 at its relaxed geometry.

**Space group**: No. 64
**Total magnetization**: 0.8 μB per formula unit

abc: 7.272 7.926 8.265
angles: 118.63 90.00 90.00
Positions (direct):
Pa 0.500 0.249 0.500
Pa 0.000 0.251 0.500
Pa 0.500 0.751 0.500
Pa 0.000 0.749 0.500
Ni 0.748 0.423 0.346
Ni 0.248 0.077 0.654
Ni 0.252 0.577 0.654
Ni 0.752 0.923 0.346
Se 0.750 0.087 0.173
Se 0.250 0.413 0.827
Se 0.250 0.913 0.827
Se 0.750 0.587 0.173
Se 0.749 0.586 0.672
Se 0.249 0.914 0.328
Se 0.251 0.414 0.328
Se 0.751 0.086 0.672


Run R
## PaNiSe2 (PBE)

Data for crystalline PaNiSe2 at its relaxed geometry.

**Space group**: No. 62
**Total magnetization**: 0.6 μB per formula unit

abc: 3.765 8.397 10.405
angles: 90.00 90.00 90.00
Positions (direct):
Pa 0.750 0.768 0.697
Pa 0.250 0.732 0.197
Pa 0.250 0.232 0.303
Pa 0.750 0.268 0.803
Ni 0.750 0.950 0.424
Ni 0.250 0.550 0.924
Ni 0.250 0.050 0.576
Ni 0.750 0.450 0.076
Se 0.750 0.215 0.524
Se 0.250 0.285 0.024
Se 0.250 0.785 0.476
Se 0.750 0.715 0.976
Se 0.750 0.501 0.297
Se 0.250 0.999 0.797
Se 0.250 0.499 0.703
Se 0.750 0.001 0.203


It is run R that is most stable; the runner-up trails by 119 meV per atom.


Run P
## Pa3Si4Ni2 (PBE)

Data for crystalline Pa3Si4Ni2 at its relaxed geometry.

**Space group**: No. 71
**Total magnetization**: 0.0 μB per formula unit

abc: 3.836 7.720 7.720
angles: 52.84 75.62 75.62
Positions (direct):
Pa 0.350 0.150 0.150
Pa 0.500 0.500 0.500
Pa 0.650 0.850 0.850
Si 0.849 0.824 0.479
Si 0.151 0.521 0.176
Si 0.151 0.176 0.521
Si 0.849 0.479 0.824
Ni 0.000 0.827 0.173
Ni 0.000 0.173 0.827


Run Q
## Pa3Si4Ni2 (PBE)

Data for crystalline Pa3Si4Ni2 at its relaxed geometry.

**Space group**: No. 12
**Total magnetization**: 0.0 μB per formula unit

abc: 4.003 5.605 7.916
angles: 100.35 90.00 110.92
Positions (direct):
Pa 0.665 0.330 0.668
Pa 0.000 0.000 0.000
Pa 0.335 0.670 0.332
Si 0.718 0.437 0.061
Si 0.282 0.563 0.939
Si 0.940 0.880 0.612
Si 0.060 0.120 0.388
Ni 0.614 0.229 0.287
Ni 0.386 0.771 0.713


It is run Q that is most stable; the runner-up trails by 347 meV per atom.


Run P
## PaSi2Ni4 (PBE)

Data for crystalline PaSi2Ni4 at its relaxed geometry.

**Space group**: No. 136
**Total magnetization**: 0.0 μB per formula unit

abc: 3.720 7.171 7.171
angles: 90.00 90.00 90.00
Positions (direct):
Pa 0.500 0.000 0.000
Pa 0.000 0.500 0.500
Si 0.000 0.218 0.782
Si 0.000 0.782 0.218
Si 0.500 0.718 0.718
Si 0.500 0.282 0.282
Ni 0.000 0.090 0.343
Ni 0.000 0.910 0.657
Ni 0.500 0.157 0.590
Ni 0.500 0.843 0.410
Ni 0.500 0.410 0.843
Ni 0.500 0.590 0.157
Ni 0.000 0.343 0.090
Ni 0.000 0.657 0.910


Run Q
## PaSi2Ni4 (PBE)

Data for crystalline PaSi2Ni4 at its relaxed geometry.

**Space group**: No. 139
**Total magnetization**: 0.0 μB per formula unit

abc: 3.524 3.524 8.454
angles: 102.03 102.03 90.00
Positions (direct):
Pa 0.000 0.000 0.000
Si 0.642 0.642 0.285
Si 0.358 0.358 0.715
Ni 0.145 0.145 0.291
Ni 0.855 0.855 0.709
Ni 0.250 0.750 0.500
Ni 0.750 0.250 0.500


It is run P that is most stable; the runner-up trails by 360 meV per atom.


Run P
## Pa2SiNi (PBE)

Data for crystalline Pa2SiNi at its relaxed geometry.

**Space group**: No. 123
**Total magnetization**: 0.5 μB per formula unit

abc: 3.061 5.096 5.096
angles: 90.00 90.00 90.00
Positions (direct):
Ni 0.500 0.000 0.000
Si 0.500 0.500 0.500
Pa 0.000 0.000 0.500
Pa 0.000 0.500 0.000


Run Q
## Pa2SiNi (PBE)

Data for crystalline Pa2SiNi at its relaxed geometry.

**Space group**: No. 11
**Total magnetization**: 0.0 μB per formula unit

abc: 3.740 5.766 8.044
angles: 111.90 90.00 90.00
Positions (direct):
Pa 0.750 0.210 0.442
Pa 0.250 0.790 0.558
Pa 0.250 0.788 0.098
Pa 0.750 0.212 0.902
Si 0.250 0.337 0.204
Si 0.750 0.663 0.796
Ni 0.750 0.618 0.284
Ni 0.250 0.382 0.716


Run R
## Pa2SiNi (PBE)

Data for crystalline Pa2SiNi at its relaxed geometry.

**Space group**: No. 166
**Total magnetization**: 0.0 μB per formula unit

abc: 3.096 3.096 9.933
angles: 81.04 81.04 60.00
Positions (direct):
Ni 0.000 0.000 0.000
Si 0.500 0.500 0.500
Pa 0.086 0.086 0.743
Pa 0.914 0.914 0.257


It is run Q that is most stable; the runner-up trails by 311 meV per atom.


Run P
## PaSiNi3 (PBE)

Data for crystalline PaSiNi3 at its relaxed geometry.

**Space group**: No. 55
**Total magnetization**: 0.0 μB per formula unit

abc: 4.679 4.997 6.669
angles: 90.00 90.00 90.00
Positions (direct):
Pa 0.500 0.000 0.000
Pa 0.500 0.500 0.500
Si 0.000 0.500 0.000
Si 0.000 0.000 0.500
Ni 0.500 0.500 0.000
Ni 0.500 0.000 0.500
Ni 0.000 0.601 0.324
Ni 0.000 0.101 0.176
Ni 0.000 0.399 0.676
Ni 0.000 0.899 0.824


Run Q
## PaSiNi3 (PBE)

Data for crystalline PaSiNi3 at its relaxed geometry.

**Space group**: No. 74
**Total magnetization**: 0.0 μB per formula unit

abc: 4.932 6.067 6.067
angles: 68.68 66.01 66.01
Positions (direct):
Pa 0.500 0.500 0.500
Pa 0.500 0.000 0.000
Si 0.966 0.784 0.284
Si 0.034 0.216 0.716
Ni 0.185 0.750 0.880
Ni 0.185 0.380 0.250
Ni 0.815 0.620 0.750
Ni 0.815 0.250 0.120
Ni 0.500 0.000 0.500
Ni 0.000 0.000 0.500


It is run Q that is most stable; the runner-up trails by 201 meV per atom.


Run P
## Pa3Si4Ni4 (PBE)

Data for crystalline Pa3Si4Ni4 at its relaxed geometry.

**Space group**: No. 71
**Total magnetization**: 0.0 μB per formula unit

abc: 3.987 3.951 11.896
angles: 99.56 99.66 90.00
Positions (direct):
Pa 0.351 0.851 0.702
Pa 0.649 0.149 0.298
Pa 0.000 0.000 0.000
Si 0.803 0.303 0.606
Si 0.449 0.449 0.898
Si 0.551 0.551 0.102
Si 0.197 0.697 0.394
Ni 0.250 0.250 0.499
Ni 0.098 0.598 0.195
Ni 0.902 0.402 0.805
Ni 0.750 0.750 0.501


Run Q
## Pa3Si4Ni4 (PBE)

Data for crystalline Pa3Si4Ni4 at its relaxed geometry.

**Space group**: No. 71
**Total magnetization**: 0.0 μB per formula unit

abc: 3.997 6.647 7.776
angles: 115.30 104.89 90.00
Positions (direct):
Pa 0.130 0.130 0.261
Pa 0.870 0.870 0.739
Pa 0.000 0.500 0.000
Si 0.342 0.161 0.683
Si 0.658 0.478 0.317
Si 0.658 0.839 0.317
Si 0.342 0.522 0.683
Ni 0.216 0.716 0.432
Ni 0.784 0.284 0.568
Ni 0.500 0.812 0.000
Ni 0.500 0.188 0.000


It is run P that is most stable; the runner-up trails by 178 meV per atom.


Run P
## PaSiNi4 (PBE)

Data for crystalline PaSiNi4 at its relaxed geometry.

**Space group**: No. 216
**Total magnetization**: 0.3 μB per formula unit

abc: 4.878 4.878 4.878
angles: 60.00 60.00 60.00
Positions (direct):
Ni 0.626 0.626 0.122
Ni 0.626 0.122 0.626
Ni 0.626 0.626 0.626
Ni 0.122 0.626 0.626
Si 0.000 0.000 0.000
Pa 0.250 0.250 0.250


Run Q
## PaSiNi4 (PBE)

Data for crystalline PaSiNi4 at its relaxed geometry.

**Space group**: No. 63
**Total magnetization**: 0.0 μB per formula unit

abc: 3.742 6.025 7.577
angles: 90.00 104.29 90.00
Positions (direct):
Pa 0.109 0.250 0.218
Pa 0.891 0.750 0.782
Si 0.232 0.750 0.465
Si 0.768 0.250 0.535
Ni 0.500 0.500 0.000
Ni 0.500 0.000 0.000
Ni 0.671 0.947 0.343
Ni 0.329 0.053 0.657
Ni 0.329 0.447 0.657
Ni 0.671 0.553 0.343
Ni 0.074 0.750 0.148
Ni 0.926 0.250 0.852


It is run Q that is most stable; the runner-up trails by 81 meV per atom.


Run P
## Pa2SiNi6 (PBE)

Data for crystalline Pa2SiNi6 at its relaxed geometry.

**Space group**: No. 164
**Total magnetization**: 0.0 μB per formula unit

abc: 5.589 5.188 5.188
angles: 59.99 89.98 89.98
Positions (direct):
Pa 0.810 0.667 0.667
Pa 0.190 0.333 0.333
Si 0.000 0.000 0.000
Ni 0.321 0.344 0.828
Ni 0.320 0.828 0.828
Ni 0.321 0.828 0.344
Ni 0.679 0.656 0.172
Ni 0.680 0.172 0.172
Ni 0.679 0.172 0.656


Run Q
## Pa2SiNi6 (PBE)

Data for crystalline Pa2SiNi6 at its relaxed geometry.

**Space group**: No. 12
**Total magnetization**: 0.0 μB per formula unit

abc: 5.190 5.121 5.821
angles: 78.77 90.00 120.45
Positions (direct):
Pa 0.642 0.284 0.171
Pa 0.358 0.716 0.829
Si 0.000 0.000 0.000
Ni 0.874 0.260 0.672
Ni 0.875 0.750 0.686
Ni 0.386 0.260 0.672
Ni 0.126 0.740 0.328
Ni 0.125 0.250 0.314
Ni 0.614 0.740 0.328


It is run P that is most stable; the runner-up trails by 26 meV per atom.